First-principles (GGA-PBE) data for an optimized crystal structure of ZnReSe2N, as listed in Alexandria.

```
ZnReSe2N
1.0
-2.115 4.298 -1.652
-4.590 -1.820 1.140
0.275 1.453 3.428
Re Zn Se N
1 1 2 1
direct
0.000 0.000 0.000 Re
0.500 0.500 0.500 Zn
0.000 0.500 0.000 Se
0.500 0.000 0.000 Se
0.000 0.000 0.500 N
```

## Properties
- E above lowest polymorph (meV/atom) = 0.0
- formation energy without anion corrections (eV per atom) = 0.307
- space-group type = P4/mmm, No. 123